[1]
# La4Dy2Er5

An optimized crystal structure of La4Dy2Er5 (GGA-PBE, the Alexandria database).

abc: 3.549 8.814 12.338
angles: 100.23 98.27 90.00
Fractional coordinates of all 11 atoms:
La 0.630 0.535 0.259
La 0.029 0.692 0.058
La 0.370 0.465 0.741
La 0.971 0.308 0.942
Dy 0.769 0.674 0.538
Dy 0.231 0.326 0.462
Er 0.186 0.906 0.373
Er 0.814 0.094 0.627
Er 0.102 0.183 0.204
Er 0.500 0.000 0.000
Er 0.898 0.817 0.796

- volume (Å³ per cell) = 375.68
- energy of formation (meV/atom) = 216

[2]
# LiTh2Br8

An optimized crystal structure of LiTh2Br8 (GGA-PBE, the Alexandria database).

abc: 7.306 8.167 8.167
angles: 60.09 92.17 92.17
Fractional coordinates of all 11 atoms:
Li 0.000 0.000 0.000
Th 0.500 0.744 0.744
Th 0.500 0.256 0.256
Br 0.314 0.370 0.889
Br 0.686 0.111 0.630
Br 0.193 0.862 0.862
Br 0.807 0.138 0.138
Br 0.314 0.889 0.370
Br 0.686 0.630 0.111
Br 0.784 0.624 0.624
Br 0.216 0.376 0.376

- E_form (uncorrected) (eV/atom) = -1.555
- volume (Å³ per cell) = 421.93

[3]
# Na3Tm3NpSe8

An optimized crystal structure of Na3Tm3NpSe8 (GGA-PBE, the Alexandria database).

abc: 8.198 8.200 8.487
angles: 118.93 90.00 119.99
Fractional coordinates of all 15 atoms:
Na 0.000 0.000 0.000
Na 0.000 0.500 0.000
Na 0.500 0.500 0.000
Tm 0.500 0.000 0.500
Tm 0.500 0.500 0.500
Tm 0.000 0.500 0.500
Np 0.000 0.000 0.500
Se 0.258 0.516 0.274
Se 0.742 0.484 0.726
Se 0.758 0.517 0.276
Se 0.242 0.483 0.724
Se 0.759 0.018 0.276
Se 0.241 0.982 0.724
Se 0.259 0.018 0.276
Se 0.741 0.982 0.724

- E_form (uncorrected) (eV/atom) = -1.559
- volume (Å³ per cell) = 409.88

[4]
# Li3Th2Ni12Ir

An optimized crystal structure of Li3Th2Ni12Ir (GGA-PBE, the Alexandria database).

abc: 9.526 9.526 9.526
angles: 35.67 35.67 35.67
Fractional coordinates of all 18 atoms:
Li 0.500 0.000 0.000
Li 0.000 0.500 0.000
Li 0.000 0.000 0.500
Th 0.636 0.636 0.636
Th 0.364 0.364 0.364
Ni 0.412 0.412 0.811
Ni 0.876 0.876 0.434
Ni 0.434 0.876 0.876
Ni 0.811 0.412 0.412
Ni 0.876 0.434 0.876
Ni 0.412 0.811 0.412
Ni 0.588 0.588 0.189
Ni 0.124 0.124 0.566
Ni 0.566 0.124 0.124
Ni 0.189 0.588 0.588
Ni 0.124 0.566 0.124
Ni 0.588 0.189 0.588
Ir 0.000 0.000 0.000

- volume (Å³ per cell) = 262.69
- energy of formation (meV/atom) = 75

| no. | D(E_F) (states/eV/cell) |
| --- | --- |
| 1 | 16.69 |
| 2 | 1.61 |
| 3 | 3.78 |
| 4 | 21.94 |